# 1
An optimized crystal structure of MoW2Cl. Source: Alexandria, functional PBE.

energy = -35.5 eV for the cell shown
energy above the lowest structure with this stoichiometry = 413 meV/atom
symmetry = No. 71
formation energy (no corrections) = 0.773 eV/atom

Lattice parameters (Å, degrees): 5.381 5.381 5.381 148.36 130.14 60.27
Fractional coordinates of all 4 atoms:
Mo1 0.000 0.000 0.000
W1 0.273 0.773 0.500
W2 0.727 0.227 0.500
Cl1 0.500 0.500 0.000


# 2
An optimized crystal structure of MoWCl. Source: Alexandria, functional PBE.

energy = -22.9 eV for the cell shown
energy above the lowest structure with this stoichiometry = 451 meV/atom
symmetry = No. 44
formation energy (no corrections) = 0.909 eV/atom

Lattice parameters (Å, degrees): 4.784 4.784 4.784 145.94 126.69 64.79
Fractional coordinates of all 3 atoms:
Mo1 0.000 0.000 0.000
W1 0.667 0.667 0.000
Cl1 0.349 0.349 0.000


# 3
An optimized crystal structure of MoWCl. Source: Alexandria, functional PBE.

energy = -23.8 eV for the cell shown
energy above the lowest structure with this stoichiometry = 150 meV/atom
symmetry = No. 107
formation energy (no corrections) = 0.607 eV/atom

Lattice parameters (Å, degrees): 5.965 5.965 5.965 150.89 150.89 41.64
Fractional coordinates of all 3 atoms:
Mo1 0.000 0.000 0.000
W1 0.644 0.644 0.000
Cl1 0.323 0.323 0.000


# 4
An optimized crystal structure of Mo2WCl. Source: Alexandria, functional PBE.

energy = -35.1 eV for the cell shown
energy above the lowest structure with this stoichiometry = 93 meV/atom
symmetry = No. 65
formation energy (no corrections) = 0.342 eV/atom

Lattice parameters (Å, degrees): 2.841 2.841 8.723 90.00 90.00 111.73
Fractional coordinates of all 4 atoms:
Mo1 0.000 0.000 0.245
Mo2 0.000 0.000 0.755
W1 0.500 0.500 0.000
Cl1 0.500 0.500 0.500


# 5
An optimized crystal structure of MoWCl2. Source: Alexandria, functional PBE.

energy = -24.6 eV for the cell shown
energy above the lowest structure with this stoichiometry = 984 meV/atom
symmetry = No. 12
formation energy (no corrections) = 0.731 eV/atom

Lattice parameters (Å, degrees): 4.529 4.529 5.087 100.61 100.61 37.69
Fractional coordinates of all 4 atoms:
Mo1 0.000 0.000 0.000
W1 0.500 0.500 0.500
Cl1 0.250 0.250 0.749
Cl2 0.750 0.750 0.251


# 6
An optimized crystal structure of Mo2WCl. Source: Alexandria, functional PBE.

energy = -32.2 eV for the cell shown
energy above the lowest structure with this stoichiometry = 820 meV/atom
symmetry = No. 119
formation energy (no corrections) = 1.069 eV/atom

Lattice parameters (Å, degrees): 5.331 5.331 5.331 139.17 139.17 59.11
Fractional coordinates of all 4 atoms:
Mo1 0.000 0.000 0.000
Mo2 0.750 0.250 0.500
W1 0.250 0.750 0.500
Cl1 0.500 0.500 0.000


# 7
An optimized crystal structure of MoW2Cl. Source: Alexandria, functional PBE.

energy = -36.9 eV for the cell shown
energy above the lowest structure with this stoichiometry = 72 meV/atom
symmetry = No. 35
formation energy (no corrections) = 0.432 eV/atom

Lattice parameters (Å, degrees): 2.838 2.838 8.810 90.00 90.00 112.01
Fractional coordinates of all 4 atoms:
Mo1 0.000 0.000 0.000
W1 0.000 0.000 0.488
W2 0.500 0.500 0.244
Cl1 0.500 0.500 0.750


# 8
An optimized crystal structure of MoWCl4. Source: Alexandria, functional PBE.

energy = -20.9 eV for the cell shown
symmetry = No. 216
formation energy (no corrections) = 1.707 eV/atom

Lattice parameters (Å, degrees): 5.626 5.626 5.626 60.00 60.00 60.00
Fractional coordinates of all 6 atoms:
Mo1 0.000 0.000 0.000
W1 0.750 0.750 0.750
Cl1 0.375 0.375 0.375
Cl2 0.375 0.375 0.874
Cl3 0.375 0.874 0.375
Cl4 0.874 0.375 0.375


# 9
An optimized crystal structure of MoW2Cl. Source: Alexandria, functional PBE.

energy = -35.3 eV for the cell shown
energy above the lowest structure with this stoichiometry = 452 meV/atom
symmetry = No. 44
formation energy (no corrections) = 0.812 eV/atom

Lattice parameters (Å, degrees): 5.321 5.321 5.321 147.97 129.02 61.49
Fractional coordinates of all 4 atoms:
Mo1 0.000 0.000 0.000
W1 0.276 0.776 0.500
W2 0.550 0.550 0.000
Cl1 0.775 0.275 0.500


# 10
An optimized crystal structure of Mo2WCl. Source: Alexandria, functional PBE.

energy = -33.4 eV for the cell shown
energy above the lowest structure with this stoichiometry = 514 meV/atom
symmetry = No. 12
formation energy (no corrections) = 0.763 eV/atom

Lattice parameters (Å, degrees): 5.082 5.082 4.486 91.43 91.43 34.31
Fractional coordinates of all 4 atoms:
Mo1 0.225 0.225 0.226
Mo2 0.775 0.775 0.774
W1 0.500 0.500 0.000
Cl1 0.000 0.000 0.500


# 11
An optimized crystal structure of Mo2WCl. Source: Alexandria, functional PBE.

energy = -33.4 eV for the cell shown
energy above the lowest structure with this stoichiometry = 519 meV/atom
symmetry = No. 123
formation energy (no corrections) = 0.768 eV/atom

Lattice parameters (Å, degrees): 4.646 4.646 2.937 90.00 90.00 90.00
Fractional coordinates of all 4 atoms:
Mo1 0.000 0.500 0.000
Mo2 0.500 0.000 0.000
W1 0.000 0.000 0.500
Cl1 0.500 0.500 0.500


# 12
An optimized crystal structure of MoWCl2. Source: Alexandria, functional PBE.

energy = -28.5 eV for the cell shown
energy above the lowest structure with this stoichiometry = 0 meV/atom
symmetry = No. 6
formation energy (no corrections) = -0.253 eV/atom

Lattice parameters (Å, degrees): 3.360 2.961 8.876 90.00 90.76 90.00
Fractional coordinates of all 4 atoms:
Mo1 0.000 0.000 0.000
W1 0.506 0.500 0.173
Cl1 0.515 0.000 0.389
Cl2 0.993 0.500 0.784


Across the entries above, calculated density takes the values 13.38 10.78 10.45 10.44 9.31 10.65 12.60 5.56 13.48 10.46 10.77 6.60 g cm⁻³, respectively.